Entry 1:
VASP calculation (PBE) on ZnCuAgMo after structural relaxation.

Results
formation energy from the elements	0.483	eV per atom

abc: 6.2429 6.2429 6.2429
angles: 90.00 90.00 90.00
Last column: nearest neighbours and their distance in Å.
Space group F-43m (No. 216)
Symmetry-distinct sites (fractional):
1 Zn 0.0000 0.0000 0.0000 [4 per cell]  4 Ag 2.70, 4 Cu 2.70
2 Cu 0.2500 0.2500 0.2500 [4 per cell]  4 Mo 2.70, 4 Zn 2.70
3 Ag 0.2500 0.2500 0.7500 [4 per cell]  4 Mo 2.70, 4 Zn 2.70
4 Mo 0.0000 0.0000 0.5000 [4 per cell]  4 Cu 2.70, 4 Ag 2.70

---

Entry 2:
VASP calculation (PBE) on ZnHgTeO after structural relaxation.

abc: 4.0120 4.0120 12.1307
angles: 90.00 90.00 120.00
Last column: nearest neighbours and their distance in Å.
Space group P6_3mc (No. 186)
Symmetry-distinct sites (fractional):
1 Zn 0.0000 0.0000 0.0000 [2 per cell]  1 O 1.92
2 Hg 0.3333 0.6667 0.2870 [2 per cell]  3 O 2.41
3 Te 0.3333 0.6667 0.6067 [2 per cell]  3 Zn 2.65
4 O 0.0000 0.0000 0.3419 [2 per cell]  1 Zn 1.92

---

Entry 3:
VASP calculation (PBE) on TlAgTe after structural relaxation.

abc: 4.5488 4.5488 8.4462
angles: 90.00 90.00 90.00
Last column: nearest neighbours and their distance in Å.
Space group P4/nmm (No. 129, origin choice 2)
Symmetry-distinct sites (fractional):
1 Tl 0.2500 0.2500 0.1491 [2 per cell]  5 Te 3.41-3.64, 4 Ag 3.74
2 Ag 0.2500 0.7500 0.5000 [2 per cell]  4 Te 2.92, 4 Ag 3.22
3 Te 0.2500 0.2500 0.7177 [2 per cell]  4 Ag 2.92

---

Entry 4:
VASP calculation (PBE) on DyMgB after structural relaxation.

abc: 6.3443 6.3443 6.3443
angles: 90.00 90.00 90.00
Last column: nearest neighbours and their distance in Å.
Space group F-43m (No. 216)
Symmetry-distinct sites (fractional):
1 Dy 0.0000 0.0000 0.0000 [4 per cell]  4 Mg 2.75, 4 B 2.75
2 Mg 0.2500 0.2500 0.2500 [4 per cell]  4 Dy 2.75
3 B 0.2500 0.2500 0.7500 [4 per cell]  4 Dy 2.75

---

Entry 5:
VASP calculation (PBE) on Li4CdBiPd2 after structural relaxation.

abc: 4.5612 4.5612 6.3453
angles: 90.00 90.00 90.00
Last column: nearest neighbours and their distance in Å.
Space group P-4m2 (No. 115)
Symmetry-distinct sites (fractional):
1 Li 0.0000 0.0000 0.0000 [1 per cell]  4 Li 2.73, 4 Pd 2.77
2 Li 0.0000 0.5000 0.2358 [2 per cell]  2 Cd 2.73, 4 Li 2.73-2.83, 2 Bi 2.83
3 Li 0.5000 0.5000 0.5000 [1 per cell]  4 Pd 2.79, 4 Li 2.83
4 Cd 0.5000 0.5000 0.0000 [1 per cell]  4 Li 2.73, 4 Pd 2.77
5 Bi 0.0000 0.0000 0.5000 [1 per cell]  4 Pd 2.79, 4 Li 2.83
6 Pd 0.0000 0.5000 0.7523 [2 per cell]  2 Cd 2.77, 5 Li 2.77-3.07, 2 Bi 2.79

---

Entry 6:
VASP calculation (PBE) on SrScTeAuSe2 after structural relaxation.

abc: 4.0430 14.4290 10.6959
angles: 90.00 90.00 90.00
Last column: nearest neighbours and their distance in Å.
Space group Cmcm (No. 63)
Symmetry-distinct sites (fractional):
1 Sr 0.0000 0.2167 0.2500 [4 per cell]  4 Se 3.22, 2 Te 3.33, 2 Au 3.35
2 Sc 0.0000 0.0000 0.0000 [4 per cell]  4 Se 2.80, 2 Te 3.04
3 Te 0.0000 0.0998 0.7500 [4 per cell]  2 Au 2.77, 2 Sc 3.04
4 Au 0.0000 0.4684 0.7500 [4 per cell]  2 Se 2.58, 2 Te 2.77
5 Se 0.0000 0.3706 0.5478 [8 per cell]  1 Au 2.58, 2 Sc 2.80

---

Entry 7:
VASP calculation (PBE) on PaCuPb after structural relaxation.

abc: 6.5791 6.5791 6.5791
angles: 90.00 90.00 90.00
Last column: nearest neighbours and their distance in Å.
Space group F-43m (No. 216)
Symmetry-distinct sites (fractional):
1 Pa 0.0000 0.0000 0.0000 [4 per cell]  4 Cu 2.85
2 Cu 0.2500 0.2500 0.2500 [4 per cell]  4 Pb 2.85, 4 Pa 2.85
3 Pb 0.0000 0.0000 0.5000 [4 per cell]  4 Cu 2.85

---

Entry 8:
VASP calculation (PBE) on DyAsIrO after structural relaxation.

abc: 4.4934 4.2050 7.0447
angles: 90.00 90.00 90.00
Last column: nearest neighbours and their distance in Å.
Space group Pmc2_1 (No. 26)
Symmetry-distinct sites (fractional):
1 Dy 0.0000 0.2400 0.0000 [2 per cell]  3 O 2.36-2.42
2 As 0.5000 0.2224 0.6757 [2 per cell]  3 Ir 2.38-2.40
3 Ir 0.5000 0.2810 0.3376 [2 per cell]  2 O 2.25, 3 As 2.38-2.40
4 O 0.0000 0.2657 0.3350 [2 per cell]  2 Ir 2.25, 3 Dy 2.36-2.42

---

Entry 9:
VASP calculation (PBE) on ScCuAgS3 after structural relaxation.

abc: 3.6398 12.4155 9.8257
angles: 90.00 90.00 90.00
Last column: nearest neighbours and their distance in Å.
Space group Cmcm (No. 63)
Symmetry-distinct sites (fractional):
1 Sc 0.0000 0.0000 0.0000 [4 per cell]  6 S 2.57-2.69
2 Cu 0.0000 0.4725 0.2500 [4 per cell]  4 S 2.28-2.32
3 Ag 0.0000 0.2298 0.7500 [4 per cell]  6 S 2.82-2.89, 2 Cu 3.10
4 S 0.0000 0.0890 0.2500 [4 per cell]  2 Cu 2.32
5 S 0.0000 0.3630 0.0641 [8 per cell]  1 Cu 2.28

---

Entry 10:
VASP calculation (PBE) on Pr4AlNi2Ge4 after structural relaxation.

abc: 15.9285 4.3715 7.1853
angles: 90.00 107.88 90.00
Last column: nearest neighbours and their distance in Å.
Space group C2/m (No. 12)
Symmetry-distinct sites (fractional):
1 Pr 0.0902 0.0000 0.3825 [4 per cell]  7 Ge 3.10-3.31, 3 Ni 3.16-3.21, 2 Al 3.46
2 Pr 0.1535 0.0000 0.9429 [4 per cell]  5 Ge 3.02-3.23, 3 Ni 3.05-3.37
3 Al 0.0000 0.5000 0.0000 [2 per cell]  2 Ge 2.88
4 Ni 0.2132 0.5000 0.6488 [4 per cell]  4 Ge 2.43-2.56
5 Ge 0.0628 0.5000 0.6644 [4 per cell]  1 Ni 2.43, 1 Ge 2.58
6 Ge 0.2110 0.5000 0.2906 [4 per cell]  3 Ni 2.47-2.56

---

Entry 11:
VASP calculation (PBE) on BaThB after structural relaxation.

abc: 6.8542 6.8542 6.8542
angles: 90.00 90.00 90.00
Last column: nearest neighbours and their distance in Å.
Space group F-43m (No. 216)
Symmetry-distinct sites (fractional):
1 Ba 0.0000 0.0000 0.0000 [4 per cell]  4 B 2.97
2 Th 0.0000 0.0000 0.5000 [4 per cell]  4 B 2.97
3 B 0.2500 0.2500 0.2500 [4 per cell]  4 Ba 2.97, 4 Th 2.97

---

Entry 12:
VASP calculation (PBE) on BaSnHg after structural relaxation.

abc: 4.9959 4.9959 9.6721
angles: 90.00 90.00 120.00
Last column: nearest neighbours and their distance in Å.
Space group P6_3/mmc (No. 194)
Symmetry-distinct sites (fractional):
1 Ba 0.0000 0.0000 0.0000 [2 per cell]  6 Hg 3.76, 6 Sn 3.76
2 Sn 0.3333 0.6667 0.2500 [2 per cell]  3 Hg 2.88
3 Hg 0.3333 0.6667 0.7500 [2 per cell]  3 Sn 2.88

---

| no. | energy (eV per atom) |
| --- | --- |
| 1 | -4.18 |
| 2 | -2.74 |
| 3 | -2.99 |
| 4 | -3.29 |
| 5 | -3.32 |
| 6 | -4.80 |
| 7 | -5.52 |
| 8 | -7.04 |
| 9 | -4.96 |
| 10 | -5.48 |
| 11 | -4.64 |
| 12 | -2.66 |